! Pm2ZnNi4P3 PBE optimized geometry; values from VASP
! - ΔE_f: -0.890 eV per atom
! - E: -59.03 eV for the cell shown
! - Crystal system: tetragonal
! - Total magnetization: 0.000 μB per cell
&SYSTEM
  ibrav = 0, nat = 10, ntyp = 4
/
ATOMIC_SPECIES
Ni 58.69 Ni.upf
P 30.97 P.upf
Zn 65.41 Zn.upf
Pm 145.00 Pm.upf
ATOMIC_POSITIONS crystal
Ni 0.500 0.000 0.632
Ni 0.500 0.500 0.000
Ni 0.000 0.000 0.000
Ni 0.000 0.500 0.368
P 0.500 0.000 0.870
P 0.000 0.000 0.500
P 0.000 0.500 0.130
Zn 0.500 0.500 0.500
Pm 0.000 0.500 0.756
Pm 0.500 0.000 0.244
CELL_PARAMETERS angstrom
-0.989 -2.480 2.967
0.081 -3.075 -2.543
9.183 -1.352 1.930



! MgSbW PBE optimized geometry; values from VASP
! - E: -16.32 eV for the cell shown
! - Crystal system: cubic
! - Formation energy without anion corrections: 18.1 kcal/mol of atoms
! - Offset from the most stable computed form: 10.70 kcal/mol of atoms
! - Total magnetization: 1.027 μB per cell
&SYSTEM
  ibrav = 0, nat = 3, ntyp = 3
/
ATOMIC_SPECIES
W 183.84 W.upf
Mg 24.30 Mg.upf
Sb 121.76 Sb.upf
ATOMIC_POSITIONS crystal
W 0.750 0.750 0.750
Mg 0.000 0.000 0.000
Sb 0.500 0.500 0.500
CELL_PARAMETERS angstrom
-3.646 -0.740 2.666
-1.264 -4.281 1.011
0.560 -1.609 4.248



! PrSm3Dy5 PBE optimized geometry; values from VASP
! - ΔE_f: 0.163 eV per atom
! - E: -80.95 eV for the cell shown
! - Crystal system: monoclinic
! - Offset from the most stable computed form: 0.00 kcal/mol of atoms
! - Total magnetization: 0.000 μB per cell
&SYSTEM
  ibrav = 0, nat = 18, ntyp = 3
/
ATOMIC_SPECIES
Dy 162.50 Dy.upf
Sm 150.36 Sm.upf
Pr 140.91 Pr.upf
ATOMIC_POSITIONS crystal
Dy 0.394 0.784 0.830
Dy 0.390 0.784 0.330
Dy 0.610 0.216 0.670
Dy 0.703 0.648 0.021
Dy 0.055 0.352 0.479
Dy 0.321 0.000 0.750
Dy 0.297 0.352 0.979
Dy 0.606 0.216 0.170
Dy 0.945 0.648 0.521
Dy 0.679 0.000 0.250
Sm 0.617 0.479 0.623
Sm 0.862 0.479 0.123
Sm 0.138 0.521 0.877
Sm 0.000 0.000 0.500
Sm 0.383 0.521 0.377
Sm 0.000 0.000 0.000
Pr 0.772 0.000 0.750
Pr 0.228 0.000 0.250
CELL_PARAMETERS angstrom
6.732 0.000 0.000
-3.366 10.343 -5.406
0.000 -3.998 10.710



! CaLa2InFe PBE optimized geometry; values from VASP
! - ΔE_f: -0.103 eV per atom
! - E: -23.57 eV for the cell shown
! - Crystal system: tetragonal
! - Offset from the most stable computed form: 0.00 kcal/mol of atoms
! - Total magnetization: 0.001 μB per cell
&SYSTEM
  ibrav = 0, nat = 5, ntyp = 4
/
ATOMIC_SPECIES
La 138.91 La.upf
Ca 40.08 Ca.upf
In 114.82 In.upf
Fe 55.84 Fe.upf
ATOMIC_POSITIONS crystal
La 0.000 0.500 0.000
La 0.500 0.000 0.000
Ca 0.500 0.500 0.500
In 0.000 0.000 0.500
Fe 0.000 0.000 0.000
CELL_PARAMETERS angstrom
-3.681 1.487 -3.460
-1.333 -5.039 -0.748
-3.559 0.356 3.940



! DyMnSb PBE optimized geometry; values from VASP
! - E: -38.93 eV for the cell shown
! - Crystal system: tetragonal
! - Formation energy without anion corrections: -12.1 kcal/mol of atoms
! - Total magnetization: 6.174 μB per cell
&SYSTEM
  ibrav = 0, nat = 6, ntyp = 3
/
ATOMIC_SPECIES
Dy 162.50 Dy.upf
Sb 121.76 Sb.upf
Mn 54.94 Mn.upf
ATOMIC_POSITIONS crystal
Dy 0.000 0.500 0.828
Dy 0.500 0.000 0.172
Sb 0.000 0.500 0.259
Sb 0.500 0.000 0.741
Mn 0.500 0.500 0.500
Mn 0.000 0.000 0.500
CELL_PARAMETERS angstrom
4.255 0.000 0.000
0.000 4.255 0.000
0.000 0.000 7.374



! MnNbIn2P PBE optimized geometry; values from VASP
! - ΔE_f: 0.749 eV per atom
! - E: -26.38 eV for the cell shown
! - Crystal system: tetragonal
! - Total magnetization: 0.000 μB per cell
&SYSTEM
  ibrav = 0, nat = 5, ntyp = 4
/
ATOMIC_SPECIES
In 114.82 In.upf
Mn 54.94 Mn.upf
Nb 92.91 Nb.upf
P 30.97 P.upf
ATOMIC_POSITIONS crystal
In 0.500 0.000 0.000
In 0.000 0.000 0.500
Mn 0.000 0.000 0.000
Nb 0.000 0.500 0.000
P 0.500 0.500 0.500
CELL_PARAMETERS angstrom
-3.724 1.651 2.871
-2.311 -3.617 -0.918
2.021 -2.290 3.938



! Rb2TcI PBE optimized geometry; values from VASP
! - E: -22.46 eV for the cell shown
! - Crystal system: tetragonal
! - Formation energy without anion corrections: 15.1 kcal/mol of atoms
! - Offset from the most stable computed form: 0.46 kcal/mol of atoms
! - Total magnetization: 8.000 μB per cell
&SYSTEM
  ibrav = 0, nat = 8, ntyp = 3
/
ATOMIC_SPECIES
I 126.90 I.upf
Rb 85.47 Rb.upf
Tc 98.00 Tc.upf
ATOMIC_POSITIONS crystal
I 0.000 0.000 0.000
I 0.750 0.250 0.500
Rb 0.635 0.125 0.250
Rb 0.115 0.625 0.250
Rb 0.875 0.885 0.750
Rb 0.375 0.365 0.750
Tc 0.500 0.500 0.000
Tc 0.250 0.750 0.500
CELL_PARAMETERS angstrom
-0.061 -8.129 5.524
7.978 3.185 4.775
1.328 -0.404 8.164



! Ta2Ge2Au PBE optimized geometry; values from VASP
! - ΔE_f: 0.039 eV per atom
! - E: -72.05 eV for the cell shown
! - Crystal system: tetragonal
! - Offset from the most stable computed form: 0.00 kcal/mol of atoms
! - Total magnetization: 0.000 μB per cell
&SYSTEM
  ibrav = 0, nat = 10, ntyp = 3
/
ATOMIC_SPECIES
Ta 180.95 Ta.upf
Ge 72.64 Ge.upf
Au 196.97 Au.upf
ATOMIC_POSITIONS crystal
Ta 0.134 0.366 0.000
Ta 0.634 0.134 0.000
Ta 0.366 0.866 0.000
Ta 0.866 0.634 0.000
Ge 0.162 0.662 0.500
Ge 0.662 0.838 0.500
Ge 0.838 0.338 0.500
Ge 0.338 0.162 0.500
Au 0.000 0.000 0.000
Au 0.500 0.500 0.000
CELL_PARAMETERS angstrom
-1.806 1.025 -6.985
5.874 -3.782 -2.073
-1.841 -2.889 0.052